Entry 1:
Computed, not measured: crystalline Ca2LuIn at its relaxed geometry at the PBE level of DFT.

Geometry as POSCAR:
```
Ca2LuIn
1.0
-2.794 -2.249 0.396
-0.726 -1.424 3.235
-8.592 8.449 3.804
Ca Lu In
2 1 1
Cartesian
-6.648 5.913 3.124
-5.464 -1.138 4.311
-6.056 2.388 3.717
0.000 0.000 0.000
```

Results
Calculated density, g/cm3: 4.37
E_form, eV per formula unit: 0.57
Fermi-level density of states, states/eV/cell: 4.70

***

Entry 2:
Computed, not measured: crystalline ScCrGeB2 at its relaxed geometry at the PBE level of DFT.

Geometry as POSCAR:
```
ScCrGeB2
1.0
4.451 0.000 0.000
0.000 4.850 0.000
0.000 0.000 4.451
Sc Cr Ge B
1 1 1 2
Cartesian
0.000 0.000 0.000
0.000 2.425 0.000
2.226 2.425 2.226
0.000 0.000 2.226
2.226 0.000 0.000
```

Results
Calculated density, g/cm3: 3.30
E_form, eV per formula unit: 9.34
Fermi-level density of states, states/eV/cell: 3.03

***

Entry 3:
Computed, not measured: crystalline ZrNb3Cd at its relaxed geometry at the PBE level of DFT.

Geometry as POSCAR:
```
ZrNb3Cd
1.0
-2.718 -3.979 1.063
2.800 -0.850 3.973
-3.021 2.792 2.726
Nb Zr Cd
3 1 1
Cartesian
1.400 -0.425 1.987
-1.510 1.396 1.363
-1.359 -1.990 0.532
0.000 0.000 0.000
-1.469 -1.019 3.882
```

Results
Calculated density, g/cm3: 6.67
E_form, eV per formula unit: 7.50
Fermi-level density of states, states/eV/cell: 5.73

***

Entry 4:
Computed, not measured: crystalline Pd6Se at its relaxed geometry at the PBE level of DFT.

Geometry as POSCAR:
```
Pd6Se
1.0
-0.563 -2.837 -4.366
8.560 -2.374 0.438
-2.455 -7.852 5.418
Pd Se
24 4
Cartesian
0.508 -6.532 -0.180
5.034 -6.531 1.670
3.870 -10.138 4.869
1.672 -2.925 -3.380
-0.023 -7.995 2.255
5.565 -5.068 -0.766
4.091 -10.232 0.037
1.451 -2.831 1.453
2.358 -5.477 1.683
3.184 -7.586 -0.194
4.411 -3.660 -2.903
6.246 -8.436 -0.037
1.131 -9.403 4.392
-0.704 -4.627 1.526
-1.932 -8.553 4.235
7.474 -4.510 -2.746
1.381 -9.614 0.551
4.161 -3.449 0.938
2.789 -8.102 2.529
7.432 -4.357 1.106
2.753 -4.961 -1.039
-1.890 -8.706 0.384
-0.518 -4.054 -1.207
6.060 -9.009 2.696
0.522 -5.856 3.203
5.020 -7.207 -1.713
3.978 -10.197 2.436
1.564 -2.866 -0.947
```

Results
Calculated density, g/cm3: 10.39
ΔE_f (raw), meV/atom: -27
Fermi-level density of states, states/eV/cell: 21.62

***

Entry 5:
Computed, not measured: crystalline ZnCr2In at its relaxed geometry at the PBE level of DFT.

Geometry as POSCAR:
```
ZnCr2In
1.0
3.712 0.000 0.000
0.000 3.712 0.000
1.856 1.856 9.443
Cr Zn In
4 2 2
Cartesian
2.543 0.928 2.361
1.169 2.784 2.361
2.784 3.025 7.082
4.640 4.398 7.082
1.856 1.856 0.000
1.856 3.712 4.722
0.000 0.000 0.000
3.712 1.856 4.722
```

Results
Calculated density, g/cm3: 7.26
E_form, eV per formula unit: 3.17
Fermi-level density of states, states/eV/cell: 7.42

***

Entry 6:
Computed, not measured: crystalline ScTePb3 at its relaxed geometry at the PBE level of DFT.

Geometry as POSCAR:
```
ScTePb3
1.0
5.918 0.000 0.000
0.000 5.918 0.000
0.000 0.000 5.918
Pb Sc Te
3 1 1
Cartesian
0.000 2.959 0.000
0.000 0.000 2.959
2.959 0.000 0.000
2.959 2.959 2.959
0.000 0.000 0.000
```

Results
Calculated density, g/cm3: 6.36
ΔE_f (raw), meV/atom: 658
Fermi-level density of states, states/eV/cell: 7.39

***

Entry 7:
Computed, not measured: crystalline La7TbSm2 at its relaxed geometry at the PBE level of DFT.

Geometry as POSCAR:
```
La7TbSm2
1.0
3.566 0.000 0.000
0.000 10.159 -2.802
0.000 -0.696 10.515
La Tb Sm
7 1 2
Cartesian
0.000 6.691 1.453
0.000 2.772 6.260
1.783 1.012 3.683
1.783 8.452 4.030
1.783 3.811 0.248
1.783 5.652 7.465
1.783 4.732 3.856
0.000 0.000 0.000
1.783 8.348 -0.580
1.783 1.115 8.293
```

Results
Calculated density, g/cm3: 6.36
E_form, eV per formula unit: 3.19
Fermi-level density of states, states/eV/cell: 16.18

***

Entry 8:
Computed, not measured: crystalline NdSm4Y3 at its relaxed geometry at the PBE level of DFT.

Geometry as POSCAR:
```
NdSm4Y3
1.0
3.453 0.000 -0.436
-0.174 6.707 -1.381
-0.243 -0.973 11.976
Y Nd Sm
3 1 4
Cartesian
-0.087 3.354 -0.691
0.218 5.676 1.725
2.818 0.059 8.434
1.727 0.000 -0.218
2.398 1.147 5.103
0.638 4.588 5.056
0.306 2.246 2.422
2.730 3.489 7.737
```

Results
Calculated density, g/cm3: 6.18
E_form, eV per formula unit: 1.36
Fermi-level density of states, states/eV/cell: 14.54

***

Entry 9:
Computed, not measured: crystalline SrScB at its relaxed geometry at the PBE level of DFT.

Geometry as POSCAR:
```
SrScB
1.0
13.917 0.000 0.000
0.000 6.242 0.000
0.000 0.000 3.311
Sc Sr B
4 4 4
Cartesian
6.016 1.560 0.000
0.943 4.681 1.655
7.901 4.681 3.311
12.974 1.560 1.655
9.161 1.560 3.293
11.714 4.681 1.637
4.756 4.681 0.018
2.202 1.560 1.674
0.000 0.000 0.000
6.958 3.121 1.655
6.958 0.000 1.655
0.000 3.121 0.000
```

Results
Calculated density, g/cm3: 3.31
E_form, eV per formula unit: 0.74
Fermi-level density of states, states/eV/cell: 8.84

***

Entry 10:
Computed, not measured: crystalline Ca6Zn2Cd at its relaxed geometry at the PBE level of DFT.

Geometry as POSCAR:
```
Ca6Zn2Cd
1.0
9.063 0.047 -0.091
-3.390 8.405 0.091
-3.115 -4.040 7.492
Ca Zn Cd
12 4 2
Cartesian
-0.101 2.811 6.133
2.659 1.602 1.359
-2.640 -0.972 6.133
5.198 5.385 1.359
2.958 4.145 4.155
-0.399 0.268 3.337
-3.723 2.498 7.211
6.281 1.915 0.281
3.007 0.505 5.023
-0.449 3.908 2.469
-2.718 5.431 5.115
5.277 -1.018 2.377
0.491 -0.329 6.595
2.068 4.743 0.897
3.801 -2.551 4.729
2.148 -1.441 2.672
-3.252 2.183 3.792
0.000 0.000 0.000
```

Results
Calculated density, g/cm3: 2.81
E_form, eV per formula unit: -1.71
Fermi-level density of states, states/eV/cell: 19.94

***

Entry 11:
Computed, not measured: crystalline Tm2CuHg at its relaxed geometry at the PBE level of DFT.

Geometry as POSCAR:
```
Tm2CuHg
1.0
-2.249 0.535 4.477
-3.844 -3.003 1.264
0.611 -3.511 3.562
Tm Hg Cu
2 1 1
Cartesian
-1.370 -1.495 2.326
-4.111 -4.484 6.977
0.000 0.000 0.000
-2.741 -2.989 4.651
```

Results
Calculated density, g/cm3: 11.05
E_form, eV per formula unit: -1.39
Fermi-level density of states, states/eV/cell: 4.52

***

Entry 12:
Computed, not measured: crystalline TaPPtRhAuI at its relaxed geometry at the PBE level of DFT.

Geometry as POSCAR:
```
TaPPtRhAuI
1.0
7.203 0.000 0.013
0.000 4.195 0.000
-5.916 0.000 8.576
Ta P Pt Rh Au I
2 2 2 2 2 2
Cartesian
-0.065 0.000 8.556
2.893 2.098 4.268
1.598 0.000 3.473
-1.360 2.098 7.761
-0.558 0.000 2.514
-3.516 2.098 6.802
2.325 0.000 5.731
5.283 2.098 1.442
3.646 0.000 2.191
0.689 2.098 6.479
-4.504 0.000 8.434
-1.546 2.098 4.146
```

Results
Calculated density, g/cm3: 10.67
ΔE_f (raw), meV/atom: -65
Fermi-level density of states, states/eV/cell: 4.35

***

Entry 13:
Computed, not measured: crystalline GeBrCl at its relaxed geometry at the PBE level of DFT.

Geometry as POSCAR:
```
GeBrCl
1.0
4.816 0.000 0.000
2.408 4.171 0.000
2.408 1.390 3.933
Ge Br Cl
1 1 1
Cartesian
2.408 1.390 0.983
0.000 0.000 0.000
4.816 2.781 1.966
```

Results
Calculated density, g/cm3: 3.95
ΔE_f (raw), meV/atom: -478
Fermi-level density of states, states/eV/cell: 0.00

***

Entry 14:
Computed, not measured: crystalline KU4Te6 at its relaxed geometry at the PBE level of DFT.

Geometry as POSCAR:
```
KU4Te6
1.0
-3.357 1.536 -2.267
-1.814 -7.118 2.003
-9.494 7.878 19.398
K U Te
2 8 12
Cartesian
-5.280 0.505 4.022
-9.385 1.791 15.112
-9.236 0.477 9.862
-4.075 -4.297 3.123
-5.429 1.818 9.272
-10.590 6.593 16.011
-13.317 3.864 18.202
-1.347 -1.569 0.932
-8.193 4.604 11.114
-6.471 -2.309 8.020
-1.679 0.768 -1.133
-6.425 4.707 8.566
-3.636 2.026 6.758
-11.029 0.269 12.376
-12.805 1.744 16.007
-1.859 0.552 3.128
-7.454 0.554 7.275
-7.211 1.742 11.860
-10.233 4.250 18.035
-4.431 -1.954 1.099
-4.900 -2.624 5.479
-9.765 4.920 13.656
```

Results
Calculated density, g/cm3: 8.03
ΔE_f (raw), meV/atom: -627
Fermi-level density of states, states/eV/cell: 46.04

***

Entry 15:
Computed, not measured: crystalline CsTlSn at its relaxed geometry at the PBE level of DFT.

Geometry as POSCAR:
```
CsTlSn
1.0
-15.249 12.528 -0.467
-2.853 -3.551 -2.077
-9.766 3.706 1.047
Cs Tl Sn
2 2 2
Cartesian
-15.927 6.524 -1.339
-20.973 10.670 -1.494
-9.268 1.073 -1.168
-12.362 3.615 -1.263
-17.012 10.384 -0.412
-9.475 4.025 0.103
```

Results
Calculated density, g/cm3: 6.01
E_form, eV per formula unit: -0.43
Fermi-level density of states, states/eV/cell: 1.35

***

Entry 16:
Computed, not measured: crystalline LiH2W at its relaxed geometry at the PBE level of DFT.

Geometry as POSCAR:
```
LiH2W
1.0
-2.683 0.644 -0.758
-1.496 -1.806 -1.641
-3.069 -2.646 3.215
H W Li
2 1 1
Cartesian
-5.385 -2.787 0.489
-1.863 -1.021 0.327
-3.624 -1.904 0.408
0.000 0.000 0.000
```

Results
E, eV per atom: -5.363
Calculated density, g/cm3: 9.21
Fermi-level density of states, states/eV/cell: 1.58

***

Entry 17:
Computed, not measured: crystalline BaLiHoBr6 at its relaxed geometry at the PBE level of DFT.

Geometry as POSCAR:
```
BaLiHoBr6
1.0
-3.380 5.808 -2.652
-0.573 -6.365 -3.369
-11.333 -3.068 7.724
Ba Li Ho Br
2 2 2 12
Cartesian
0.000 0.000 0.000
-5.667 -1.534 3.862
-4.342 -3.074 -1.199
-10.944 -0.550 2.902
-5.277 0.983 -0.960
-10.008 -4.608 2.663
-4.052 -0.781 -2.757
-1.766 -2.750 -0.185
-8.459 0.172 3.939
-13.520 -0.874 1.888
-5.564 -1.327 0.597
-4.484 -5.141 0.666
-11.926 1.025 4.981
-6.827 -3.796 -2.237
-10.802 1.517 1.037
-3.360 -4.650 -3.279
-9.722 -2.298 1.106
-11.234 -2.844 4.460
```

Results
Calculated density, g/cm3: 4.12
ΔE_f (raw), meV/atom: -1890
Fermi-level density of states, states/eV/cell: 0.00

***

Entry 18:
Computed, not measured: crystalline Tm6Th3Sc at its relaxed geometry at the PBE level of DFT.

Geometry as POSCAR:
```
Tm6Th3Sc
1.0
-1.640 -3.818 -4.351
7.144 0.324 -5.857
0.186 -5.242 3.108
Tm Th Sc
6 3 1
Cartesian
1.388 -3.927 -2.691
2.797 -7.830 -5.371
4.302 -4.809 -4.409
2.892 -0.907 -1.729
0.032 -6.064 -0.293
5.657 -2.672 -6.807
-0.064 -6.900 -3.630
5.754 -1.836 -3.470
0.000 0.000 0.000
2.752 -1.747 -5.104
```

Results
Calculated density, g/cm3: 9.68
E_form, eV per formula unit: 0.34
Fermi-level density of states, states/eV/cell: 14.44

***

Entry 19:
Computed, not measured: crystalline Na2CdIn3Ga4 at its relaxed geometry at the PBE level of DFT.

Geometry as POSCAR:
```
Na2CdIn3Ga4
1.0
-1.566 -3.341 -2.461
0.889 -2.840 3.289
-11.399 1.879 4.703
Na Cd In Ga
2 1 3 4
Cartesian
-3.791 -1.175 0.011
-7.946 -0.037 5.107
-6.038 -2.151 2.766
-5.699 0.939 2.352
-10.552 -0.061 2.800
-1.185 -1.151 2.317
-0.338 -3.091 0.414
0.000 0.000 0.000
-8.090 -0.466 1.785
-3.647 -0.745 3.333
```

Results
Calculated density, g/cm3: 5.29
E_form, eV per formula unit: -0.59
Fermi-level density of states, states/eV/cell: 2.53

***

Entry 20:
Computed, not measured: crystalline Er2HRu at its relaxed geometry at the PBE level of DFT.

Geometry as POSCAR:
```
Er2HRu
1.0
-1.713 0.393 -3.050
-2.374 -2.396 -1.007
-6.197 2.792 1.809
Ru H Er
1 1 2
Cartesian
0.000 0.000 0.000
-5.142 0.395 -1.124
-7.566 0.487 -1.782
-2.718 0.302 -0.466
```

Results
E, eV per atom: -5.699
Calculated density, g/cm3: 10.03
Fermi-level density of states, states/eV/cell: 3.00

***

Entry 21:
Computed, not measured: crystalline AcNdY3Tm at its relaxed geometry at the PBE level of DFT.

Geometry as POSCAR:
```
AcNdY3Tm
1.0
5.739 0.000 0.000
-2.869 9.962 1.654
0.000 -1.224 7.189
Ac Nd Y Tm
2 2 6 2
Cartesian
0.000 5.866 8.141
2.869 2.872 0.702
0.000 0.731 2.247
2.869 8.007 6.596
2.869 6.356 3.086
2.869 4.686 6.269
0.000 9.208 3.545
0.000 4.052 2.574
2.869 -0.469 5.298
0.000 2.382 5.757
2.869 2.423 3.868
0.000 6.315 4.975
```

Results
Calculated density, g/cm3: 6.34
E_form, eV per formula unit: 1.34
Fermi-level density of states, states/eV/cell: 20.59

***

Entry 22:
Computed, not measured: crystalline PmY4Tm3 at its relaxed geometry at the PBE level of DFT.

Geometry as POSCAR:
```
PmY4Tm3
1.0
-3.357 -0.426 -1.306
-1.987 -8.711 -2.125
-6.375 -0.774 6.565
Y Tm Pm
4 3 1
Cartesian
-9.440 -7.882 1.649
-4.947 -6.643 -0.231
-5.278 -3.105 -0.533
-7.130 -2.623 4.072
-4.680 -0.937 2.261
-5.532 -8.814 -3.058
-4.363 -4.399 2.577
-8.866 -5.672 4.489
```

Results
Calculated density, g/cm3: 6.52
E_form, eV per formula unit: 0.04
Fermi-level density of states, states/eV/cell: 14.29